Here is HS8I2 after structural relaxation from the Alexandria database. Energies are from GGA-PBE.

Structure (POSCAR):
```
HS8I2
1.0
7.246 0.000 0.000
-3.476 7.100 0.000
-1.658 -3.132 7.795
H S I
1 8 2
Direct
0.000 0.000 0.000
0.165 0.598 0.559
0.232 0.005 0.053
0.347 0.111 0.882
0.413 0.583 0.998
0.587 0.417 0.002
0.653 0.889 0.118
0.768 0.995 0.947
0.835 0.402 0.441
0.279 0.589 0.303
0.721 0.411 0.697
```

- D(E_F): 0.505 states/eV/atom
- E_tot: -3.43 eV/atom

Here is Si2PdCl2 after structural relaxation from the Alexandria database. Energies are from GGA-PBE.

Structure (POSCAR):
```
Si2PdCl2
1.0
8.118 0.000 0.000
0.000 8.118 0.000
0.000 0.000 3.016
Si Pd Cl
4 2 4
Direct
0.226 0.274 0.000
0.274 0.774 0.000
0.726 0.226 0.000
0.774 0.726 0.000
0.000 0.000 0.500
0.500 0.500 0.500
0.122 0.622 0.500
0.378 0.122 0.500
0.622 0.878 0.500
0.878 0.378 0.500
```

- D(E_F): 0.328 states/eV/atom
- Raw formation energy: 0.388 eV per atom
- Polymorph energy (0 for the lowest one): 0.110 eV per atom

Here is Sc2CrRh after structural relaxation from the Alexandria database. Energies are from GGA-PBE.

Structure (POSCAR):
```
Sc2CrRh
1.0
3.040 0.000 0.000
0.000 4.305 0.000
0.000 0.000 5.509
Sc Cr Rh
2 1 1
Direct
0.000 0.000 0.000
0.500 0.500 0.328
0.000 0.000 0.525
0.500 0.500 0.817
```

- D(E_F): 0.813 states/eV/atom
- Energy of formation: -0.1050 eV/atom
- Polymorph energy (0 for the lowest one): 0.272 eV per atom